[1]
A relaxed structure of CuAsPb2. Source: Alexandria via LeMat-Bulk, functional PBE-GGA.

abc: 7.1085 7.1085 7.1085
angles: 147.75 147.38 46.53
Closest atoms and distances in Å follow each position.
Positions (direct):
As 0.4251 0.4251 0.0000  2 Cu 2.44
Cu 0.3156 0.8156 0.5000  2 As 2.44
Pb 0.0211 0.0211 0.0000  4 As 3.08, 2 Cu 3.34
Pb 0.7382 0.2382 0.5000  4 Cu 2.98, 2 As 3.15

Summary:
* density of states at the Fermi level: 0.46 states/eV per atom
* total magnetization: 0.00 μB per formula unit
* VASP energy: -15.623 eV per formula unit



[2]
A relaxed structure of TbPmNi10. Source: Alexandria via LeMat-Bulk, functional PBE-GGA.

abc: 3.9592 4.9193 8.5102
angles: 90.00 90.00 90.00
Closest atoms and distances in Å follow each position.
Positions (direct):
Tb 0.0000 0.5000 0.5000  14 Ni 2.82-3.14
Pm 0.0000 0.0000 0.0000  18 Ni 2.85-3.17
Ni 0.0000 0.0000 0.3357  6 Ni 2.42-2.44
Ni 0.0000 0.5000 0.8309  6 Ni 2.43-2.45
Ni 0.0000 0.5000 0.1691  6 Ni 2.43-2.45
Ni 0.0000 0.0000 0.6643  6 Ni 2.42-2.44
Ni 0.5000 0.0000 0.5000  8 Ni 2.42-2.44
Ni 0.5000 0.5000 0.0000  8 Ni 2.45-2.47
Ni 0.5000 0.2513 0.2523  8 Ni 2.43-2.47
Ni 0.5000 0.7487 0.7477  8 Ni 2.43-2.47
Ni 0.5000 0.7487 0.2523  8 Ni 2.43-2.47
Ni 0.5000 0.2513 0.7477  8 Ni 2.43-2.47

Summary:
* density of states at the Fermi level: 1.14 states/eV per atom
* total magnetization: 2.85 μB per formula unit
* VASP energy: -70.882 eV per formula unit



[3]
A relaxed structure of Rb2CeTi2O6. Source: Alexandria via LeMat-Bulk, functional PBE-GGA.

abc: 6.2449 6.2449 7.2180
angles: 64.37 64.37 60.00
Closest atoms and distances in Å follow each position.
Positions (direct):
Rb 0.7886 0.7886 0.6342  9 O 3.15-3.25
Rb 0.2114 0.2114 0.3658  9 O 3.15-3.25
Ce 0.0000 0.0000 0.0000  6 O 2.29
Ti 0.4223 0.4223 0.7332  3 O 1.81
Ti 0.5777 0.5777 0.2668  3 O 1.81
O 0.7582 0.7582 0.2225  1 Ti 1.81
O 0.2610 0.7582 0.2225  1 Ti 1.81
O 0.7582 0.2610 0.2225  1 Ti 1.81
O 0.2418 0.7390 0.7775  1 Ti 1.81
O 0.7390 0.2418 0.7775  1 Ti 1.81
O 0.2418 0.2418 0.7775  1 Ti 1.81

Summary:
* density of states at the Fermi level: 0.45 states/eV per atom
* total magnetization: 0.39 μB per formula unit
* VASP energy: -82.336 eV per formula unit



[4]
A relaxed structure of NaCaPCl2. Source: Alexandria via LeMat-Bulk, functional PBE-GGA.

abc: 4.9733 4.9733 5.4086
angles: 90.00 90.00 90.00
Closest atoms and distances in Å follow each position.
Positions (direct):
P 0.0000 0.0000 0.5000  2 Na 2.70
Ca 0.5000 0.5000 0.5000  4 P 3.52, 8 Cl 3.67
Na 0.0000 0.0000 0.0000  4 Cl 2.49, 2 P 2.70
Cl 0.0000 0.5000 0.0000  2 Na 2.49
Cl 0.5000 0.0000 0.0000  2 Na 2.49

Summary:
* density of states at the Fermi level: 0.50 states/eV per atom
* total magnetization: 2.00 μB per formula unit
* VASP energy: -15.834 eV per formula unit
* E above lowest polymorph: 296 meV per atom



[5]
A relaxed structure of Mg2Hg2Pb. Source: Alexandria via LeMat-Bulk, functional PBE-GGA.

abc: 8.2871 8.2871 3.5193
angles: 90.00 90.00 90.00
Closest atoms and distances in Å follow each position.
Positions (direct):
Pb 0.0000 0.0000 0.0000  4 Mg 3.21, 2 Pb 3.52, 8 Hg 3.58
Pb 0.5000 0.5000 0.0000  4 Mg 3.21, 2 Pb 3.52, 8 Hg 3.58
Mg 0.3625 0.8625 0.0000  6 Hg 2.96-3.03, 2 Pb 3.21, 1 Mg 3.22
Mg 0.8625 0.6375 0.0000  6 Hg 2.96-3.03, 2 Pb 3.21, 1 Mg 3.22
Mg 0.6375 0.1375 0.0000  6 Hg 2.96-3.03, 2 Pb 3.21, 1 Mg 3.22
Mg 0.1375 0.3625 0.0000  6 Hg 2.96-3.03, 2 Pb 3.21, 1 Mg 3.22
Hg 0.1598 0.6598 0.5000  6 Mg 2.96-3.03
Hg 0.6598 0.8402 0.5000  6 Mg 2.96-3.03
Hg 0.8402 0.3402 0.5000  6 Mg 2.96-3.03
Hg 0.3402 0.1598 0.5000  6 Mg 2.96-3.03

Summary:
* density of states at the Fermi level: 0.34 states/eV per atom
* total magnetization: 0.00 μB per formula unit
* VASP energy: -8.039 eV per formula unit
* E above lowest polymorph: 13 meV per atom



[6]
A relaxed structure of InSe2SBr. Source: Alexandria via LeMat-Bulk, functional PBE-GGA.

abc: 5.3594 5.3594 5.4867
angles: 90.00 90.00 90.00
Closest atoms and distances in Å follow each position.
Positions (direct):
S 0.5000 0.5000 0.5000  4 Br 3.79, 8 Se 3.83
Se 0.0000 0.5000 0.0000  2 In 2.68
Se 0.5000 0.0000 0.0000  2 In 2.68
Br 0.0000 0.0000 0.5000  2 In 2.74
In 0.0000 0.0000 0.0000  4 Se 2.68, 2 Br 2.74

Summary:
* density of states at the Fermi level: 1.10 states/eV per atom
* total magnetization: 3.65 μB per formula unit
* VASP energy: -12.385 eV per formula unit
* E above lowest polymorph: 442 meV per atom



[7]
A relaxed structure of Ba2FeAgP. Source: Alexandria via LeMat-Bulk, functional PBE-GGA.

abc: 6.3221 4.5559 6.3221
angles: 90.00 90.00 90.00
Closest atoms and distances in Å follow each position.
Positions (direct):
P 0.0000 0.5000 0.0000  2 Ag 2.28
Ba 0.0000 0.0000 0.5000  2 Ag 3.16
Ba 0.5000 0.0000 0.0000  2 Ag 3.16
Ag 0.0000 0.0000 0.0000  2 P 2.28
Fe 0.5000 0.5000 0.5000  8 Ba 3.90

Summary:
* density of states at the Fermi level: 1.16 states/eV per atom
* total magnetization: 2.86 μB per formula unit
* VASP energy: -18.558 eV per formula unit



[8]
A relaxed structure of CaCrIr2. Source: Alexandria via LeMat-Bulk, functional PBE-GGA.

abc: 3.1778 3.1778 6.9751
angles: 90.00 90.00 90.00
Closest atoms and distances in Å follow each position.
Positions (direct):
Cr 0.5000 0.5000 0.8315  5 Ir 2.44-2.63
Ca 0.0000 0.0000 0.4908  5 Ir 2.99-3.33, 4 Ca 3.18, 4 Cr 3.27
Ir 0.0000 0.0000 0.9690  4 Cr 2.44
Ir 0.5000 0.5000 0.2086  1 Cr 2.63, 4 Ir 2.80

Summary:
* density of states at the Fermi level: 1.51 states/eV per atom
* total magnetization: 0.01 μB per formula unit
* VASP energy: -28.074 eV per formula unit
* E above lowest polymorph: 447 meV per atom



[9]
A relaxed structure of CaInRu. Source: Alexandria via LeMat-Bulk, functional PBE-GGA.

abc: 4.6434 4.6434 3.6488
angles: 90.00 90.00 120.00
Closest atoms and distances in Å follow each position.
Positions (direct):
Ru 0.3333 0.6667 0.5006  3 In 2.68
Ca 0.0000 0.0000 0.9998  6 Ru 3.24, 6 In 3.24
In 0.6667 0.3333 0.4997  3 Ru 2.68

Summary:
* density of states at the Fermi level: 0.30 states/eV per atom
* total magnetization: 0.00 μB per formula unit
* VASP energy: -13.899 eV per formula unit



[10]
A relaxed structure of RbMg2Ta2O7. Source: Alexandria via LeMat-Bulk, functional PBE-GGA.

abc: 4.0795 4.0795 9.2555
angles: 102.73 102.73 90.00
Closest atoms and distances in Å follow each position.
Positions (direct):
Rb 0.0000 0.0000 0.0000  12 O 2.88-2.97
Mg 0.2500 0.7500 0.5000  6 O 2.06-2.24
Mg 0.7500 0.2499 0.5000  6 O 2.06-2.25
Ta 0.3863 0.3863 0.7726  6 O 2.00-2.11
Ta 0.6137 0.6136 0.2274  6 O 2.00-2.11
O 0.3776 0.8776 0.7553  2 Ta 2.05, 1 Mg 2.24
O 0.7337 0.7336 0.4673  4 Mg 2.06, 1 Ta 2.11
O 0.1224 0.6223 0.2447  2 Ta 2.05, 1 Mg 2.24
O 0.6224 0.1223 0.2447  2 Ta 2.05, 1 Mg 2.25
O 0.2663 0.2663 0.5327  4 Mg 2.06, 1 Ta 2.11
O 0.8776 0.3776 0.7553  2 Ta 2.05, 1 Mg 2.24
O 0.5000 0.5000 0.0000  2 Ta 2.00

Summary:
* density of states at the Fermi level: 0.28 states/eV per atom
* total magnetization: 0.00 μB per formula unit
* VASP energy: -94.149 eV per formula unit



[11]
A relaxed structure of LaCo4Sb2. Source: Alexandria via LeMat-Bulk, functional PBE-GGA.

abc: 4.6508 4.6508 7.6892
angles: 72.40 72.40 90.00
Closest atoms and distances in Å follow each position.
Positions (direct):
Sb 0.6120 0.6120 0.7759  1 Co 2.45
Sb 0.3880 0.3880 0.2241  1 Co 2.45
Co 0.7885 0.7885 0.4230  1 Sb 2.45
Co 0.2115 0.2115 0.5770  1 Sb 2.45
Co 0.0000 0.5000 0.0000  2 La 2.33
Co 0.5000 0.0000 0.0000  2 La 2.33
La 0.0000 0.0000 0.0000  4 Co 2.33

Summary:
* density of states at the Fermi level: 1.28 states/eV per atom
* total magnetization: 3.78 μB per formula unit
* VASP energy: -35.376 eV per formula unit



[12]
A relaxed structure of SrIrRu2. Source: Alexandria via LeMat-Bulk, functional PBE-GGA.

abc: 4.9618 4.9618 5.6338
angles: 78.70 78.70 34.08
Closest atoms and distances in Å follow each position.
Positions (direct):
Ir 0.7500 0.7500 0.7500  6 Ru 2.62-2.93, 2 Ir 2.91
Ru 0.0222 0.0222 0.9192  2 Ru 2.50, 2 Ir 2.62
Ru 0.4778 0.4778 0.5808  2 Ru 2.50, 2 Ir 2.62
Sr 0.2500 0.2500 0.2500  2 Sr 2.91, 6 Ru 3.13-3.21, 4 Ir 3.17

Summary:
* density of states at the Fermi level: 1.01 states/eV per atom
* total magnetization: 0.00 μB per formula unit
* VASP energy: -27.343 eV per formula unit
* E above lowest polymorph: 40 meV per atom